VASP calculation (PBE-GGA) on crystalline Ti5VGa3 at its relaxed geometry.

Calculated values
E above lowest polymorph, eV/f.u.: 0.00
Magnetization, μB per formula unit: 0.0
Calculated formation energy, eV/atom: -0.37

Structure (CIF):
```
data_Ti5VGa3
_symmetry_space_group_name_H-M 'P 63/m c m'
_symmetry_Int_Tables_number 193
_symmetry_space_group_name_Hall '-P 6c 2'
_cell_length_a 7.8002
_cell_length_b 7.8002
_cell_length_c 5.3738
_cell_angle_alpha 90.00
_cell_angle_beta 90.00
_cell_angle_gamma 120.00
loop_
_atom_site_label
_atom_site_type_symbol
_atom_site_fract_x
_atom_site_fract_y
_atom_site_fract_z
Ti1 Ti 0.0000 0.3234 0.2500
Ti2 Ti 0.3333 0.6667 0.0000
V1 V 0.0000 0.0000 0.0000
Ga1 Ga 0.0000 0.3381 0.7500
```

VASP calculation (PBE-GGA) on crystalline Ti2V2Ga at its relaxed geometry.

Calculated values
E above lowest polymorph, eV/f.u.: 0.55
Magnetization, μB per formula unit: 0.0
Calculated formation energy, eV/atom: -0.04

Structure (CIF):
```
data_Ti2V2Ga
_symmetry_space_group_name_H-M 'P 4/m b m'
_symmetry_Int_Tables_number 127
_symmetry_space_group_name_Hall '-P 4 2ab'
_cell_length_a 6.6692
_cell_length_b 6.6692
_cell_length_c 3.4976
_cell_angle_alpha 90.00
_cell_angle_beta 90.00
_cell_angle_gamma 90.00
loop_
_atom_site_label
_atom_site_type_symbol
_atom_site_fract_x
_atom_site_fract_y
_atom_site_fract_z
Ti1 Ti 0.1712 0.3288 0.0000
V1 V 0.1273 0.6273 0.5000
Ga1 Ga 0.0000 0.0000 0.5000
```

Look up the E above lowest polymorph of the second one. 0.55 eV/f.u.